(1)
# La2TbPuAs4, optimized geometry, DFT PBE
# **Crystal system**: monoclinic
# **Energy of formation from the pure elements**: -1405 meV/atom
# **E**: -58.7 eV per formula unit
data_La2TbPuAs4
_chemical_formula_sum 'La2 Tb1 Pu1 As4'
_cell_length_a 7.362
_cell_length_b 4.262
_cell_length_c 7.371
_cell_angle_alpha 90.00
_cell_angle_beta 109.45
_cell_angle_gamma 90.00
_symmetry_space_group_name_H-M 'P 1 2/m 1'
_symmetry_Int_Tables_number 10
loop_
_symmetry_equiv_pos_as_xyz
'x,y,z'
'-x,-y,-z'
'-x,y,-z'
'x,-y,z'
loop_
_atom_site_label
_atom_site_fract_x
_atom_site_fract_y
_atom_site_fract_z
La1 0.000 0.000 0.000
La2 0.500 0.500 0.000
Tb1 0.000 0.500 0.500
Pu1 0.500 0.000 0.500
As1 0.247 0.000 0.736
As2 0.257 0.500 0.265

***

(2)
# La2Tb3PuAs6, optimized geometry, DFT PBE
# **Crystal system**: monoclinic
# **Energy of formation from the pure elements**: -1444 meV/atom
# **E**: -83.3 eV per formula unit
data_La2Tb3PuAs6
_chemical_formula_sum 'La4 Tb6 Pu2 As12'
_cell_length_a 18.376
_cell_length_b 4.223
_cell_length_c 8.437
_cell_angle_alpha 90.00
_cell_angle_beta 103.23
_cell_angle_gamma 90.00
_symmetry_space_group_name_H-M 'C 1 2/m 1'
_symmetry_Int_Tables_number 12
loop_
_symmetry_equiv_pos_as_xyz
'x,y,z'
'-x,-y,-z'
'-x,y,-z'
'x,-y,z'
'x+1/2,y+1/2,z'
'-x+1/2,-y+1/2,-z'
'-x+1/2,y+1/2,-z'
'x+1/2,-y+1/2,z'
loop_
_atom_site_label
_atom_site_fract_x
_atom_site_fract_y
_atom_site_fract_z
La1 0.166 0.000 0.333
Tb1 0.000 0.500 0.500
Tb2 0.168 0.000 0.834
Pu1 0.000 0.500 0.000
As1 0.003 0.000 0.755
As2 0.164 0.500 0.591
As3 0.166 0.500 0.074

***

Question: What is the E in the second record?
Answer: -83.3 eV per formula unit